BeCoAgH2: optimized geometry, PBE.

Cell: 3.5174 3.5174 4.2259 Å, 90.00 90.00 90.00°
Element x y z (fractional)
Be (0.0000, 0.0000, 0.0000)
Co (0.0000, 0.0000, 0.5000)
Ag (0.5000, 0.5000, 0.5000)
H (0.0000, 0.5000, 0.0000)
H (0.5000, 0.0000, 0.0000)

Values from the calculation:
Space-group type: No. 123
Spin magnetization (μB/f.u.): 1.36
DFT total energy (eV/atom): -3.2324